Li3Co | PBE-GGA | optimized geometry

**Calculated formation energy**: 32.4 kJ per mole of atoms

Cell lengths 5.3814, 5.3814, 4.5026 Å; angles 90.00, 90.00, 120.00 degrees
Space group P6_3/mmc (No. 194)
One atom of each set of equivalent atoms:
Li 0.1742 0.3483 0.2500 (multiplicity 6)
Co 0.3333 0.6667 0.7500 (multiplicity 2)

---

In2Cu2Pt | PBE-GGA | optimized geometry

**Calculated formation energy**: 6.5 kJ per mole of atoms

Cell lengths 7.3323, 7.3323, 3.2550 Å; angles 90.00, 90.00, 90.00 degrees
Space group P4/mbm (No. 127)
One atom of each set of equivalent atoms:
In 0.1651 0.3349 0.0000 (multiplicity 4)
Cu 0.1295 0.6295 0.5000 (multiplicity 4)
Pt 0.0000 0.0000 0.0000 (multiplicity 2)

---

Y4TlGaAg2 | PBE-GGA | optimized geometry

**Calculated formation energy**: -41.4 kJ per mole of atoms

Cell lengths 5.2010, 5.2010, 25.4342 Å; angles 90.00, 90.00, 120.00 degrees
Space group R-3m (No. 166, hexagonal axes)
One atom of each set of equivalent atoms:
Y 0.0000 0.0000 0.1212 (multiplicity 6)
Y 0.0000 0.0000 0.3714 (multiplicity 6)
Tl 0.0000 0.0000 0.5000 (multiplicity 3)
Ga 0.0000 0.0000 0.0000 (multiplicity 3)
Ag 0.0000 0.0000 0.2487 (multiplicity 6)

---

LaTbCuSi | PBE-GGA | optimized geometry

**Raw formation energy**: -0.390 eV per atom

Cell lengths 7.1949, 7.1949, 7.1949 Å; angles 90.00, 90.00, 90.00 degrees
Space group F-43m (No. 216)
One atom of each set of equivalent atoms:
La 0.0000 0.0000 0.0000 (multiplicity 4)
Tb 0.0000 0.0000 0.5000 (multiplicity 4)
Cu 0.2500 0.2500 0.7500 (multiplicity 4)
Si 0.2500 0.2500 0.2500 (multiplicity 4)

---

Zr2Al2Fe5Mo | PBE-GGA | optimized geometry

**Calculated formation energy**: -8.1 kJ per mole of atoms

Cell lengths 9.4171, 9.4171, 3.1754 Å; angles 90.00, 90.00, 90.00 degrees
Space group P4/mbm (No. 127)
One atom of each set of equivalent atoms:
Zr 0.1713 0.3287 0.0000 (multiplicity 4)
Al 0.1265 0.6265 0.0000 (multiplicity 4)
Fe 0.0000 0.5000 0.5000 (multiplicity 2)
Fe 0.0618 0.8013 0.5000 (multiplicity 8)
Mo 0.0000 0.0000 0.0000 (multiplicity 2)

---

La3InCu8 | PBE-GGA | optimized geometry

**Calculated formation energy**: -13.0 kJ per mole of atoms

Cell lengths 5.3277, 5.3277, 26.2504 Å; angles 90.00, 90.00, 120.00 degrees
Space group R3m (No. 160, hexagonal axes)
One atom of each set of equivalent atoms:
La 0.0000 0.0000 0.0000 (multiplicity 3)
La 0.0000 0.0000 0.1231 (multiplicity 3)
La 0.0000 0.0000 0.6214 (multiplicity 3)
In 0.0000 0.0000 0.4972 (multiplicity 3)
Cu 0.0000 0.0000 0.3113 (multiplicity 3)
Cu 0.0000 0.0000 0.8120 (multiplicity 3)
Cu 0.0051 0.5025 0.5593 (multiplicity 9)
Cu 0.0058 0.5029 0.0624 (multiplicity 9)

---

Ac4ScTl5 | PBE-GGA | optimized geometry

**Calculated formation energy**: -31.9 kJ per mole of atoms

Cell lengths 3.9117, 3.9117, 21.3257 Å; angles 90.00, 90.00, 90.00 degrees
Space group P4/mmm (No. 123)
One atom of each set of equivalent atoms:
Ac 0.0000 0.0000 0.1066 (multiplicity 2)
Ac 0.0000 0.0000 0.3183 (multiplicity 2)
Sc 0.0000 0.0000 0.5000 (multiplicity 1)
Tl 0.5000 0.5000 0.0000 (multiplicity 1)
Tl 0.5000 0.5000 0.2134 (multiplicity 2)
Tl 0.5000 0.5000 0.4243 (multiplicity 2)

---

Ho2H2Pb | PBE-GGA | optimized geometry

**Uncorrected energy**: -4.5435 eV per atom

Cell lengths 5.6310, 5.6516, 10.8217 Å; angles 90.00, 90.00, 90.00 degrees
Space group Fmmm (No. 69)
One atom of each set of equivalent atoms:
Ho 0.0000 0.0000 0.1558 (multiplicity 8)
H 0.2500 0.2500 0.2500 (multiplicity 8)
Pb 0.0000 0.0000 0.5000 (multiplicity 4)

---

TaCrRe2 | PBE-GGA | optimized geometry

**Calculated formation energy**: -5.9 kJ per mole of atoms

Cell lengths 3.0852, 3.0852, 6.2767 Å; angles 90.00, 90.00, 90.00 degrees
Space group P4mm (No. 99)
One atom of each set of equivalent atoms:
Ta 0.0000 0.0000 0.0000 (multiplicity 1)
Cr 0.5000 0.5000 0.2423 (multiplicity 1)
Re 0.0000 0.0000 0.4754 (multiplicity 1)
Re 0.5000 0.5000 0.7324 (multiplicity 1)

---

RbNbAlO4 | PBE-GGA | optimized geometry

**Raw formation energy**: -2.311 eV per atom

Cell lengths 8.5203, 8.5203, 8.5203 Å; angles 90.00, 90.00, 90.00 degrees
Space group F-43m (No. 216)
One atom of each set of equivalent atoms:
Rb 0.0000 0.0000 0.0000 (multiplicity 4)
Nb 0.2500 0.2500 0.7500 (multiplicity 4)
Al 0.0000 0.0000 0.5000 (multiplicity 4)
O 0.1199 0.1199 0.6199 (multiplicity 16)

---

CoB2Pd | PBE-GGA | optimized geometry

**Calculated formation energy**: 35.8 kJ per mole of atoms

Cell lengths 5.2936, 5.2936, 5.2936 Å; angles 90.00, 90.00, 90.00 degrees
Space group Fm-3m (No. 225)
One atom of each set of equivalent atoms:
Co 0.0000 0.0000 0.0000 (multiplicity 4)
B 0.2500 0.2500 0.2500 (multiplicity 8)
Pd 0.0000 0.0000 0.5000 (multiplicity 4)

---

LiZnI2N | PBE-GGA | optimized geometry

**Raw formation energy**: 0.168 eV per atom

Cell lengths 5.8720, 5.8720, 3.9090 Å; angles 90.00, 90.00, 90.00 degrees
Space group P4/mmm (No. 123)
One atom of each set of equivalent atoms:
Li 0.0000 0.0000 0.0000 (multiplicity 1)
Zn 0.5000 0.5000 0.5000 (multiplicity 1)
I 0.0000 0.5000 0.5000 (multiplicity 2)
N 0.5000 0.5000 0.0000 (multiplicity 1)

---

DOS at the Fermi energy for every record listed, in sequence, given in states/eV per cell: 11.602 1.154 15.232 14.725 12.655 20.528 7.294 4.680 2.943 16.656 8.526 1.134.